(1)
# CsBaGa2Te | the Alexandria database | PBE | relaxed
# Crystal system: tetragonal
# Offset from the most stable computed form, meV/atom: 658.4
data_CsBaGa2Te
_chemical_formula_sum 'Cs1 Ba1 Ga2 Te1'
_symmetry_space_group_name_H-M 'P 4/m m m'
_symmetry_Int_Tables_number 123
_symmetry_space_group_name_Hall '-P 4 2'
_cell_length_a 5.772
_cell_length_b 5.772
_cell_length_c 7.109
_cell_angle_alpha 90.00
_cell_angle_beta 90.00
_cell_angle_gamma 90.00
loop_
_atom_site_label
_atom_site_type_symbol
_atom_site_fract_x
_atom_site_fract_y
_atom_site_fract_z
Cs1 Cs 0.000 0.000 0.000
Ba1 Ba 0.000 0.000 0.500
Ga1 Ga 0.000 0.500 0.000
Te1 Te 0.500 0.500 0.500


(2)
# CsBaTl2Ga | the Alexandria database | PBE | relaxed
# Crystal system: tetragonal
# Raw total energy, eV per atom: -1.2844
data_CsBaTl2Ga
_chemical_formula_sum 'Cs1 Ba1 Tl2 Ga1'
_symmetry_space_group_name_H-M 'P 4/m m m'
_symmetry_Int_Tables_number 123
_symmetry_space_group_name_Hall '-P 4 2'
_cell_length_a 6.315
_cell_length_b 6.315
_cell_length_c 6.757
_cell_angle_alpha 90.00
_cell_angle_beta 90.00
_cell_angle_gamma 90.00
loop_
_atom_site_label
_atom_site_type_symbol
_atom_site_fract_x
_atom_site_fract_y
_atom_site_fract_z
Cs1 Cs 0.000 0.000 0.000
Ba1 Ba 0.000 0.000 0.500
Tl1 Tl 0.000 0.500 0.000
Ga1 Ga 0.500 0.500 0.500


(3)
# CsBa2Ge2 | the Alexandria database | PBE | relaxed
# Crystal system: tetragonal
# Offset from the most stable computed form, meV/atom: 77.1
data_CsBa2Ge2
_chemical_formula_sum 'Cs2 Ba4 Ge4'
_symmetry_space_group_name_H-M 'I 4/m m m'
_symmetry_Int_Tables_number 139
_symmetry_space_group_name_Hall '-I 4 2'
_cell_length_a 5.852
_cell_length_b 5.852
_cell_length_c 12.142
_cell_angle_alpha 90.00
_cell_angle_beta 90.00
_cell_angle_gamma 90.00
loop_
_atom_site_label
_atom_site_type_symbol
_atom_site_fract_x
_atom_site_fract_y
_atom_site_fract_z
Cs1 Cs 0.000 0.000 0.000
Ba1 Ba 0.000 0.500 0.250
Ge1 Ge 0.000 0.000 0.397


(4)
# CsBaGe3 | the Alexandria database | PBE | relaxed
# Crystal system: cubic
# Offset from the most stable computed form, meV/atom: 245.2
data_CsBaGe3
_chemical_formula_sum 'Cs1 Ba1 Ge3'
_symmetry_space_group_name_H-M 'P m -3 m'
_symmetry_Int_Tables_number 221
_symmetry_space_group_name_Hall '-P 4 2 3'
_cell_length_a 5.812
_cell_length_b 5.812
_cell_length_c 5.812
_cell_angle_alpha 90.00
_cell_angle_beta 90.00
_cell_angle_gamma 90.00
loop_
_atom_site_label
_atom_site_type_symbol
_atom_site_fract_x
_atom_site_fract_y
_atom_site_fract_z
Cs1 Cs 0.000 0.000 0.000
Ba1 Ba 0.500 0.500 0.500
Ge1 Ge 0.000 0.000 0.500


(5)
# Cs2BaGe2 | the Alexandria database | PBE | relaxed
# Crystal system: tetragonal
# Offset from the most stable computed form, meV/atom: 3.0
data_Cs2BaGe2
_chemical_formula_sum 'Cs4 Ba2 Ge4'
_symmetry_space_group_name_H-M 'I 4/m m m'
_symmetry_Int_Tables_number 139
_symmetry_space_group_name_Hall '-I 4 2'
_cell_length_a 5.150
_cell_length_b 5.150
_cell_length_c 15.929
_cell_angle_alpha 90.00
_cell_angle_beta 90.00
_cell_angle_gamma 90.00
loop_
_atom_site_label
_atom_site_type_symbol
_atom_site_fract_x
_atom_site_fract_y
_atom_site_fract_z
Cs1 Cs 0.000 0.500 0.250
Ba1 Ba 0.000 0.000 0.000
Ge1 Ge 0.000 0.000 0.425


(6)
# CsBa2Ge | the Alexandria database | PBE | relaxed
# Crystal system: trigonal
# Raw total energy, eV per atom: -2.5139
data_CsBa2Ge
_chemical_formula_sum 'Cs3 Ba6 Ge3'
_symmetry_space_group_name_H-M 'R -3 m'
_symmetry_Int_Tables_number 166
_symmetry_space_group_name_Hall '-R 3 2"'
_cell_length_a 5.0869
_cell_length_b 5.0869
_cell_length_c 39.1996
_cell_angle_alpha 90.00
_cell_angle_beta 90.00
_cell_angle_gamma 120.00
loop_
_atom_site_label
_atom_site_type_symbol
_atom_site_fract_x
_atom_site_fract_y
_atom_site_fract_z
Cs1 Cs 0.0000 0.0000 0.0000
Ba1 Ba 0.0000 0.0000 0.1267
Ge1 Ge 0.0000 0.0000 0.5000


(7)
# Cs2BaGe2 | the Alexandria database | PBE | relaxed
# Crystal system: tetragonal
# Offset from the most stable computed form, meV/atom: 0.0
data_Cs2BaGe2
_chemical_formula_sum 'Cs4 Ba2 Ge4'
_symmetry_space_group_name_H-M 'P 4/m b m'
_symmetry_Int_Tables_number 127
_symmetry_space_group_name_Hall '-P 4 2ab'
_cell_length_a 8.489
_cell_length_b 8.489
_cell_length_c 6.358
_cell_angle_alpha 90.00
_cell_angle_beta 90.00
_cell_angle_gamma 90.00
loop_
_atom_site_label
_atom_site_type_symbol
_atom_site_fract_x
_atom_site_fract_y
_atom_site_fract_z
Cs1 Cs 0.177 0.323 0.000
Ba1 Ba 0.000 0.000 0.500
Ge1 Ge 0.098 0.598 0.500


(8)
# CsBa3Ge | the Alexandria database | PBE | relaxed
# Crystal system: cubic
# Offset from the most stable computed form, meV/atom: 0.0
data_CsBa3Ge
_chemical_formula_sum 'Cs1 Ba3 Ge1'
_symmetry_space_group_name_H-M 'P m -3 m'
_symmetry_Int_Tables_number 221
_symmetry_space_group_name_Hall '-P 4 2 3'
_cell_length_a 6.734
_cell_length_b 6.734
_cell_length_c 6.734
_cell_angle_alpha 90.00
_cell_angle_beta 90.00
_cell_angle_gamma 90.00
loop_
_atom_site_label
_atom_site_type_symbol
_atom_site_fract_x
_atom_site_fract_y
_atom_site_fract_z
Cs1 Cs 0.000 0.000 0.000
Ba1 Ba 0.000 0.500 0.500
Ge1 Ge 0.500 0.500 0.500


The following magnetization values (in Bohr magnetons per cell) correspond, in order, to the records above: 0.000 0.000 0.000 0.000 0.000 0.006 3.022 0.002.